Entry 1:
Entry from Alexandria via LeMat-Bulk: an optimized crystal structure of CuSbCl2 (GGA-PBE).

The structure in CIF format:
```
data_CuSbCl2
_symmetry_space_group_name_H-M 'P 4/m m m'
_symmetry_Int_Tables_number 123
_symmetry_space_group_name_Hall '-P 4 2'
_cell_length_a 3.181
_cell_length_b 3.181
_cell_length_c 8.089
_cell_angle_alpha 90.00
_cell_angle_beta 90.00
_cell_angle_gamma 90.00
loop_
_atom_site_label
_atom_site_type_symbol
_atom_site_fract_x
_atom_site_fract_y
_atom_site_fract_z
Cu1 Cu 0.000 0.000 0.000
Sb1 Sb 0.000 0.000 0.500
Cl1 Cl 0.500 0.500 0.195
```

***

Entry 2:
Entry from Alexandria via LeMat-Bulk: an optimized crystal structure of Cu2SbCl (GGA-PBE).

The structure in CIF format:
```
data_Cu2SbCl
_symmetry_space_group_name_H-M 'C 1 2/m 1'
_symmetry_Int_Tables_number 12
_cell_length_a 5.503
_cell_length_b 7.564
_cell_length_c 4.317
_cell_angle_alpha 90.00
_cell_angle_beta 119.95
_cell_angle_gamma 90.00
loop_
_symmetry_equiv_pos_as_xyz
'x,y,z'
'-x,-y,-z'
'-x,y,-z'
'x,-y,z'
'x+1/2,y+1/2,z'
'-x+1/2,-y+1/2,-z'
'-x+1/2,y+1/2,-z'
'x+1/2,-y+1/2,z'
loop_
_atom_site_label
_atom_site_type_symbol
_atom_site_fract_x
_atom_site_fract_y
_atom_site_fract_z
Cu1 Cu 0.250 0.250 0.000
Sb1 Sb 0.000 0.000 0.500
Cl1 Cl 0.000 0.500 0.500
```

***

Entry 3:
Entry from Alexandria via LeMat-Bulk: an optimized crystal structure of CuSbCl2 (GGA-PBE).

The structure in CIF format:
```
data_CuSbCl2
_symmetry_space_group_name_H-M 'C m m m'
_symmetry_Int_Tables_number 65
_symmetry_space_group_name_Hall '-C 2 2'
_cell_length_a 6.100
_cell_length_b 7.124
_cell_length_c 4.023
_cell_angle_alpha 90.00
_cell_angle_beta 90.00
_cell_angle_gamma 90.00
loop_
_atom_site_label
_atom_site_type_symbol
_atom_site_fract_x
_atom_site_fract_y
_atom_site_fract_z
Cu1 Cu 0.000 0.000 0.000
Sb1 Sb 0.000 0.500 0.000
Cl1 Cl 0.000 0.234 0.500
```

***

Entry 4:
Entry from Alexandria via LeMat-Bulk: an optimized crystal structure of CuSbCl2 (GGA-PBE).

The structure in CIF format:
```
data_CuSbCl2
_symmetry_space_group_name_H-M 'C 1 m 1'
_symmetry_Int_Tables_number 8
_cell_length_a 8.108
_cell_length_b 3.458
_cell_length_c 8.131
_cell_angle_alpha 90.00
_cell_angle_beta 98.06
_cell_angle_gamma 90.00
loop_
_symmetry_equiv_pos_as_xyz
'x,y,z'
'x,-y,z'
'x+1/2,y+1/2,z'
'x+1/2,-y+1/2,z'
loop_
_atom_site_label
_atom_site_type_symbol
_atom_site_fract_x
_atom_site_fract_y
_atom_site_fract_z
Cu1 Cu 0.000 0.000 0.000
Sb1 Sb 0.304 0.000 0.828
Cl1 Cl 0.126 0.500 0.156
Cl2 Cl 0.426 0.000 0.577
```

***

Entry 5:
Entry from Alexandria via LeMat-Bulk: an optimized crystal structure of Cu2SbCl (GGA-PBE).

The structure in CIF format:
```
data_Cu2SbCl
_symmetry_space_group_name_H-M 'P 4/m m m'
_symmetry_Int_Tables_number 123
_symmetry_space_group_name_Hall '-P 4 2'
_cell_length_a 4.912
_cell_length_b 4.912
_cell_length_c 3.021
_cell_angle_alpha 90.00
_cell_angle_beta 90.00
_cell_angle_gamma 90.00
loop_
_atom_site_label
_atom_site_type_symbol
_atom_site_fract_x
_atom_site_fract_y
_atom_site_fract_z
Cu1 Cu 0.000 0.500 0.000
Sb1 Sb 0.000 0.000 0.500
Cl1 Cl 0.500 0.500 0.500
```

***

Entry 6:
Entry from Alexandria via LeMat-Bulk: an optimized crystal structure of CuSb3Cl (GGA-PBE).

The structure in CIF format:
```
data_CuSb3Cl
_symmetry_space_group_name_H-M 'P m -3 m'
_symmetry_Int_Tables_number 221
_symmetry_space_group_name_Hall '-P 4 2 3'
_cell_length_a 5.127
_cell_length_b 5.127
_cell_length_c 5.127
_cell_angle_alpha 90.00
_cell_angle_beta 90.00
_cell_angle_gamma 90.00
loop_
_atom_site_label
_atom_site_type_symbol
_atom_site_fract_x
_atom_site_fract_y
_atom_site_fract_z
Cu1 Cu 0.000 0.000 0.000
Sb1 Sb 0.000 0.000 0.500
Cl1 Cl 0.500 0.500 0.500
```

***

Entry 7:
Entry from Alexandria via LeMat-Bulk: an optimized crystal structure of Cu2SbCl (GGA-PBE).

The structure in CIF format:
```
data_Cu2SbCl
_symmetry_space_group_name_H-M 'C 1 2/m 1'
_symmetry_Int_Tables_number 12
_cell_length_a 6.651
_cell_length_b 3.355
_cell_length_c 7.682
_cell_angle_alpha 90.00
_cell_angle_beta 114.10
_cell_angle_gamma 90.00
loop_
_symmetry_equiv_pos_as_xyz
'x,y,z'
'-x,-y,-z'
'-x,y,-z'
'x,-y,z'
'x+1/2,y+1/2,z'
'-x+1/2,-y+1/2,-z'
'-x+1/2,y+1/2,-z'
'x+1/2,-y+1/2,z'
loop_
_atom_site_label
_atom_site_type_symbol
_atom_site_fract_x
_atom_site_fract_y
_atom_site_fract_z
Cu1 Cu 0.075 0.000 0.258
Sb1 Sb 0.000 0.500 0.500
Cl1 Cl 0.000 0.500 0.000
```

***

Entry 8:
Entry from Alexandria via LeMat-Bulk: an optimized crystal structure of Cu2SbCl (GGA-PBE).

The structure in CIF format:
```
data_Cu2SbCl
_symmetry_space_group_name_H-M 'I -4 2 d'
_symmetry_Int_Tables_number 122
_symmetry_space_group_name_Hall 'I -4 2bw'
_cell_length_a 5.991
_cell_length_b 5.991
_cell_length_c 10.199
_cell_angle_alpha 90.00
_cell_angle_beta 90.00
_cell_angle_gamma 90.00
loop_
_atom_site_label
_atom_site_type_symbol
_atom_site_fract_x
_atom_site_fract_y
_atom_site_fract_z
Cu1 Cu 0.234 0.250 0.125
Sb1 Sb 0.000 0.000 0.500
Cl1 Cl 0.000 0.000 0.000
```

***

Entry 9:
Entry from Alexandria via LeMat-Bulk: an optimized crystal structure of CuSbCl2 (GGA-PBE).

The structure in CIF format:
```
data_CuSbCl2
_symmetry_space_group_name_H-M 'P 4 m m'
_symmetry_Int_Tables_number 99
_cell_length_a 3.316
_cell_length_b 3.316
_cell_length_c 8.168
_cell_angle_alpha 90.00
_cell_angle_beta 90.00
_cell_angle_gamma 90.00
loop_
_symmetry_equiv_pos_as_xyz
'x,y,z'
'-y,x,z'
'-x,-y,z'
'y,-x,z'
'-x,y,z'
'y,x,z'
'x,-y,z'
'-y,-x,z'
loop_
_atom_site_label
_atom_site_type_symbol
_atom_site_fract_x
_atom_site_fract_y
_atom_site_fract_z
Cu1 Cu 0.000 0.000 0.000
Sb1 Sb 0.500 0.500 0.205
Cl1 Cl 0.000 0.000 0.442
Cl2 Cl 0.500 0.500 0.848
```

***

Entry 10:
Entry from Alexandria via LeMat-Bulk: an optimized crystal structure of Cu2SbCl (GGA-PBE).

The structure in CIF format:
```
data_Cu2SbCl
_symmetry_space_group_name_H-M 'R -3 m'
_symmetry_Int_Tables_number 166
_symmetry_space_group_name_Hall '-R 3 2"'
_cell_length_a 3.5378
_cell_length_b 3.5378
_cell_length_c 20.6811
_cell_angle_alpha 90.00
_cell_angle_beta 90.00
_cell_angle_gamma 120.00
loop_
_atom_site_label
_atom_site_type_symbol
_atom_site_fract_x
_atom_site_fract_y
_atom_site_fract_z
Cu1 Cu 0.0000 0.0000 0.2489
Sb1 Sb 0.0000 0.0000 0.0000
Cl1 Cl 0.0000 0.0000 0.5000
```

***

Entry 11:
Entry from Alexandria via LeMat-Bulk: an optimized crystal structure of Cu2SbCl (GGA-PBE).

The structure in CIF format:
```
data_Cu2SbCl
_symmetry_space_group_name_H-M 'I 4/m m m'
_symmetry_Int_Tables_number 139
_symmetry_space_group_name_Hall '-I 4 2'
_cell_length_a 4.422
_cell_length_b 4.422
_cell_length_c 7.564
_cell_angle_alpha 90.00
_cell_angle_beta 90.00
_cell_angle_gamma 90.00
loop_
_atom_site_label
_atom_site_type_symbol
_atom_site_fract_x
_atom_site_fract_y
_atom_site_fract_z
Cu1 Cu 0.000 0.500 0.250
Sb1 Sb 0.000 0.000 0.000
Cl1 Cl 0.000 0.000 0.500
```

***

Entry 12:
Entry from Alexandria via LeMat-Bulk: an optimized crystal structure of Cu2SbCl6 (GGA-PBE).

The structure in CIF format:
```
data_Cu2SbCl6
_symmetry_space_group_name_H-M 'C 1 2/c 1'
_symmetry_Int_Tables_number 15
_cell_length_a 14.268
_cell_length_b 12.842
_cell_length_c 7.133
_cell_angle_alpha 90.00
_cell_angle_beta 113.61
_cell_angle_gamma 90.00
loop_
_symmetry_equiv_pos_as_xyz
'x,y,z'
'-x,-y,-z'
'-x,y,-z+1/2'
'x,-y,z+1/2'
'x+1/2,y+1/2,z'
'-x+1/2,-y+1/2,-z'
'-x+1/2,y+1/2,-z+1/2'
'x+1/2,-y+1/2,z+1/2'
loop_
_atom_site_label
_atom_site_type_symbol
_atom_site_fract_x
_atom_site_fract_y
_atom_site_fract_z
Cu1 Cu 0.217 0.037 0.297
Sb1 Sb 0.000 0.398 0.250
Cl1 Cl 0.107 0.278 0.176
Cl2 Cl 0.127 0.005 0.966
Cl3 Cl 0.129 0.403 0.655
```

***

Result set for size of the total moment: 0.0, 0.0, 0.0, 0.0, 0.0, 0.0, 0.0, 0.0, 0.0, 0.0, 0.0, 0.3 μB per formula unit, one per record in the order listed.
Result set for energy relative to the elements, uncorrected: 0.01, 0.23, -0.08, -0.41, 0.25, 0.39, -0.06, 0.02, -0.17, -0.05, 0.45, -0.64 eV/atom, one per record in the order listed.
Result set for distance to the lowest polymorph of the same formula: 427.2, 333.1, 329.2, 0.0, 358.4, 0.0, 48.4, 120.6, 242.1, 53.1, 553.2, 0.0 meV/atom, one per record in the order listed.